Computed, not measured: a relaxed MgV2O4 crystal at the PBEsol level of DFT.

```
MgV2O4
1.0
-3.421 0.527 -4.859
-2.040 -4.805 -2.889
-5.784 -1.457 0.111
V O Mg
4 8 2
direct
0.371 0.371 0.884 V
0.371 0.884 0.371 V
0.749 0.749 0.749 V
0.884 0.371 0.371 V
0.618 0.618 0.618 O
0.625 0.625 0.143 O
0.594 0.133 0.133 O
0.133 0.594 0.133 O
0.131 0.131 0.131 O
0.625 0.143 0.625 O
0.133 0.133 0.594 O
0.143 0.625 0.625 O
0.375 0.375 0.375 Mg
0.996 0.996 0.996 Mg
```

Output
**Distance to the lowest polymorph of the same formula**: 29 kJ/mol of formula units
**Uncorrected formation energy**: -227.35 kJ/mol of atoms
**Space group**: No. 160
**Total magnetic moment**: 7.990 Bohr magnetons per cell

Computed, not measured: a relaxed BaMgAg2 crystal at the PBEsol level of DFT.

```
BaMgAg2
1.0
4.738 0.000 0.000
-2.369 4.103 -0.052
0.000 -2.677 5.794
Ba Ag Mg
1 2 1
direct
0.502 0.005 0.506 Ba
0.304 0.608 0.912 Ag
0.998 0.997 0.995 Ag
0.696 0.391 0.087 Mg
```

Output
**E**: -0.2038 Ry per atom
**Space group**: No. 8
**Total magnetic moment**: 0.000 Bohr magnetons per cell

Computed, not measured: a relaxed Ca2Mg5Si8H2O24 crystal at the PBEsol level of DFT.

```
Ca2Mg5Si8H2O24
1.0
-0.735 -4.507 -2.675
9.079 -2.877 -2.605
5.263 -6.122 6.389
O Si Mg Ca H
24 8 5 2 2
direct
0.783 0.025 0.172 O
0.410 0.463 0.763 O
0.210 0.117 0.498 O
0.217 0.803 0.172 O
0.900 0.482 0.729 O
0.100 0.788 0.729 O
0.783 0.197 0.828 O
0.590 0.537 0.237 O
0.712 0.338 0.000 O
0.590 0.774 0.763 O
0.217 0.975 0.828 O
0.900 0.212 0.271 O
0.723 0.710 0.344 O
0.100 0.518 0.271 O
0.790 0.385 0.498 O
0.410 0.226 0.237 O
0.277 0.290 0.656 O
0.210 0.615 0.502 O
0.723 0.054 0.656 O
0.288 0.662 0.000 O
0.277 0.946 0.344 O
0.790 0.883 0.502 O
0.715 0.890 0.000 O
0.285 0.110 0.000 O
0.704 0.364 0.831 Si
0.197 0.460 0.656 Si
0.296 0.636 0.169 Si
0.803 0.884 0.656 Si
0.197 0.116 0.344 Si
0.704 0.195 0.169 Si
0.803 0.540 0.344 Si
0.296 0.805 0.831 Si
0.000 0.824 0.352 Mg
0.000 0.176 0.648 Mg
0.500 0.088 0.825 Mg
0.500 0.912 0.175 Mg
0.000 0.000 0.000 Mg
0.500 0.278 0.445 Ca
0.500 0.722 0.555 Ca
0.767 0.788 0.000 H
0.233 0.212 0.000 H
```

Output
**E**: -0.5478 Ry per atom
**Space group**: No. 12
**Total magnetic moment**: 0.001 Bohr magnetons per cell

- What is the total magnetic moment in the second record?
  0.000 Bohr magnetons per cell